[1]
Material: Cs4P2Se9
Method: DFT, PBEsol
State: optimized geometry

Cell: 7.2599 7.2599 19.5616 Å, 92.24 92.24 92.48°
Positions (direct):
Se: 0.8991 0.1009 0.7500
Se: 0.7481 0.5002 0.6829
Se: 0.7157 0.7924 0.0148
Se: 0.0124 0.0561 0.3507
Se: 0.2519 0.4998 0.3171
Se: 0.9439 0.9876 0.1493
Se: 0.2076 0.2843 0.4852
Se: 0.8911 0.4808 0.1455
Se: 0.1089 0.5192 0.8545
Se: 0.5192 0.1089 0.3545
Se: 0.4808 0.8911 0.6455
Se: 0.7924 0.7157 0.5148
Se: 0.0561 0.0124 0.8507
Se: 0.1009 0.8991 0.2500
Se: 0.2843 0.2076 0.9852
Se: 0.5002 0.7481 0.1829
Se: 0.4998 0.2519 0.8171
Se: 0.9876 0.9439 0.6493
P: 0.2716 0.2542 0.3766
P: 0.2542 0.2716 0.8766
P: 0.7284 0.7458 0.6234
P: 0.7458 0.7284 0.1234
Cs: 0.7839 0.2877 0.9737
Cs: 0.5623 0.7600 0.8265
Cs: 0.7600 0.5623 0.3265
Cs: 0.2161 0.7123 0.0263
Cs: 0.2877 0.7839 0.4737
Cs: 0.2400 0.4377 0.6735
Cs: 0.4377 0.2400 0.1735
Cs: 0.7123 0.2161 0.5263

Results
Crystal system: monoclinic
Formation energy from raw total energies in eV/atom: -0.6784

[2]
Material: Ta3MoPt
Method: DFT, PBEsol
State: optimized geometry

Cell: 4.7671 4.7671 4.7671 Å, 90.00 90.00 90.00°
Positions (direct):
Pt: 0.0000 0.0000 0.0000
Ta: 0.5000 0.0000 0.0000
Ta: 0.0000 0.5000 0.0000
Ta: 0.0000 0.0000 0.5000
Mo: 0.5000 0.5000 0.5000

Results
Crystal system: cubic
Energy of formation in kJ/mol of formula units: 779

[3]
Material: Ca2CdHg
Method: DFT, PBEsol
State: optimized geometry

Cell: 3.6093 5.4124 6.0032 Å, 107.00 107.49 90.00°
Positions (direct):
Ca: 0.7690 0.3015 0.5381
Ca: 0.9760 0.9413 0.9520
Hg: 0.2329 0.7804 0.4658
Cd: 0.5221 0.4767 0.0441

Results
Crystal system: monoclinic
Energy of formation in kJ/mol of formula units: -155

[4]
Material: MnCoIr2
Method: DFT, PBEsol
State: optimized geometry

Cell: 2.7508 4.3011 4.4677 Å, 90.00 90.00 90.00°
Site moments in Bohr magnetons follow the coordinates.
Positions (direct):
Ir: 0.0000 0.0000 0.0000  0.28
Ir: 0.5000 0.0000 0.5000  0.31
Co: 0.0000 0.5000 0.5000  1.59
Mn: 0.5000 0.5000 0.0000  3.24

Results
Crystal system: orthorhombic
Energy of formation in kJ/mol of formula units: 81

[5]
Material: ZnIr2Cl
Method: DFT, PBEsol
State: optimized geometry

Cell: 2.8157 2.8157 7.5917 Å, 90.00 90.00 90.00°
Positions (direct):
Ir: 0.5000 0.5000 0.2502
Ir: 0.0000 0.0000 0.0192
Zn: 0.0000 0.0000 0.4808
Cl: 0.5000 0.5000 0.7499

Results
Crystal system: tetragonal
Formation energy from raw total energies in eV/atom: 0.3108

[6]
Material: Co2Cu2Bi
Method: DFT, PBEsol
State: optimized geometry

Cell: 3.5320 3.5320 6.4116 Å, 105.99 105.99 90.00°
Site moments in Bohr magnetons follow the coordinates.
Positions (direct):
Cu: 0.3915 0.3915 0.7829  0.04
Cu: 0.6085 0.6085 0.2171  0.04
Co: 0.7500 0.2500 0.5000  1.64
Co: 0.2500 0.7500 0.5000  1.64
Bi: 0.0000 0.0000 0.0000  -0.03

Results
Crystal system: tetragonal
Energy of formation in kJ/mol of formula units: 228

[7]
Material: AlRe2
Method: DFT, PBEsol
State: optimized geometry

Cell: 2.9724 2.9724 5.2241 Å, 106.53 106.53 90.00°
Positions (direct):
Al: 0.5000 0.5000 0.0000
Re: 0.1686 0.1686 0.3371
Re: 0.8314 0.8314 0.6629

Results
Crystal system: tetragonal
Energy of formation in kJ/mol of formula units: -74

[8]
Material: ZrPd3
Method: DFT, PBEsol
State: optimized geometry

Cell: 4.6045 5.5956 5.5956 Å, 120.00 90.00 90.00°
Positions (direct):
Pd: 0.2500 0.1641 0.3282
Pd: 0.2500 0.6718 0.8359
Pd: 0.2500 0.1641 0.8359
Pd: 0.7500 0.8359 0.6718
Pd: 0.7500 0.8359 0.1641
Pd: 0.7500 0.3282 0.1641
Zr: 0.2500 0.6667 0.3333
Zr: 0.7500 0.3333 0.6667

Results
Crystal system: hexagonal
Energy of formation in kJ/mol of formula units: -324